1.
The following is a DFT calculation (PBE) of a geometry-optimized Cs2InHg8 structure.

**Energy of formation**: -0.150 eV/atom

Structure (CIF):
```
data_Cs2InHg8
_chemical_formula_sum 'Cs2 In1 Hg8'
_cell_length_a 5.146
_cell_length_b 5.146
_cell_length_c 15.441
_cell_angle_alpha 90.00
_cell_angle_beta 90.00
_cell_angle_gamma 90.00
_symmetry_space_group_name_H-M 'P 4/m m m'
_symmetry_Int_Tables_number 123
_symmetry_space_group_name_Hall '-P 4 2'
loop_
_atom_site_label
_atom_site_fract_x
_atom_site_fract_y
_atom_site_fract_z
Cs1 0.000 0.000 0.192
In1 0.000 0.000 0.500
Hg1 0.000 0.500 0.000
Hg2 0.000 0.500 0.388
Hg3 0.500 0.500 0.269
```

---

2.
The following is a DFT calculation (PBE) of a geometry-optimized SrZnCdCl6 structure.

**Formation energy (no corrections)**: -1.525 eV/atom

Structure (CIF):
```
data_SrZnCdCl6
_chemical_formula_sum 'Sr2 Zn2 Cd2 Cl12'
_cell_length_a 6.6305
_cell_length_b 6.6305
_cell_length_c 12.6852
_cell_angle_alpha 90.00
_cell_angle_beta 90.00
_cell_angle_gamma 120.00
_symmetry_space_group_name_H-M 'P -3 1 c'
_symmetry_Int_Tables_number 163
_symmetry_space_group_name_Hall '-P 3 2c'
loop_
_atom_site_label
_atom_site_fract_x
_atom_site_fract_y
_atom_site_fract_z
Sr1 0.0000 0.0000 0.0000
Zn1 0.3333 0.6667 0.2500
Cd1 0.3333 0.6667 0.7500
Cl1 0.0184 0.3697 0.1356
```

---

3.
The following is a DFT calculation (PBE) of a geometry-optimized LiCu2P3O10 structure.

**Formation energy (no corrections)**: -1.772 eV/atom

Structure (CIF):
```
data_LiCu2P3O10
_chemical_formula_sum 'Li2 Cu4 P6 O20'
_cell_length_a 4.737
_cell_length_b 8.328
_cell_length_c 9.461
_cell_angle_alpha 90.00
_cell_angle_beta 104.07
_cell_angle_gamma 90.00
_symmetry_space_group_name_H-M 'P 1 21/m 1'
_symmetry_Int_Tables_number 11
_symmetry_space_group_name_Hall '-P 2yb'
loop_
_atom_site_label
_atom_site_fract_x
_atom_site_fract_y
_atom_site_fract_z
Li1 0.000 0.000 0.000
Cu1 0.054 0.065 0.326
P1 0.321 0.250 0.825
P2 0.418 0.750 0.447
P3 0.480 0.250 0.138
O1 0.146 0.096 0.819
O2 0.209 0.750 0.757
O3 0.250 0.597 0.460
O4 0.282 0.250 0.441
O5 0.315 0.097 0.147
O6 0.435 0.750 0.023
O7 0.481 0.750 0.286
```

---

4.
The following is a DFT calculation (PBE) of a geometry-optimized La2PmAu4 structure.

**Energy of formation**: -0.680 eV/atom

Structure (CIF):
```
data_La2PmAu4
_chemical_formula_sum 'La4 Pm2 Au8'
_cell_length_a 5.435
_cell_length_b 5.435
_cell_length_c 13.120
_cell_angle_alpha 90.00
_cell_angle_beta 90.00
_cell_angle_gamma 90.00
_symmetry_space_group_name_H-M 'I 4/m m m'
_symmetry_Int_Tables_number 139
_symmetry_space_group_name_Hall '-I 4 2'
loop_
_atom_site_label
_atom_site_fract_x
_atom_site_fract_y
_atom_site_fract_z
La1 0.000 0.000 0.216
Pm1 0.000 0.000 0.500
Au1 0.000 0.500 0.116
```

---

5.
The following is a DFT calculation (PBE) of a geometry-optimized AlReAs2 structure.

**Energy of formation**: 0.387 eV/atom

Structure (CIF):
```
data_AlReAs2
_chemical_formula_sum 'Al2 Re2 As4'
_cell_length_a 3.520
_cell_length_b 4.744
_cell_length_c 7.732
_cell_angle_alpha 90.00
_cell_angle_beta 90.00
_cell_angle_gamma 90.00
_symmetry_space_group_name_H-M 'I m m m'
_symmetry_Int_Tables_number 71
_symmetry_space_group_name_Hall '-I 2 2'
loop_
_atom_site_label
_atom_site_fract_x
_atom_site_fract_y
_atom_site_fract_z
Al1 0.000 0.000 0.000
Re1 0.000 0.000 0.500
As1 0.000 0.500 0.266
```

---

6.
The following is a DFT calculation (PBE) of a geometry-optimized CoCu2N structure.

**Formation energy (no corrections)**: 0.463 eV/atom

Structure (CIF):
```
data_CoCu2N
_chemical_formula_sum 'Co4 Cu8 N4'
_cell_length_a 7.270
_cell_length_b 7.270
_cell_length_c 3.526
_cell_angle_alpha 90.00
_cell_angle_beta 90.00
_cell_angle_gamma 90.00
_symmetry_space_group_name_H-M 'I -4 2 d'
_symmetry_Int_Tables_number 122
_symmetry_space_group_name_Hall 'I -4 2bw'
loop_
_atom_site_label
_atom_site_fract_x
_atom_site_fract_y
_atom_site_fract_z
Co1 0.000 0.000 0.000
Cu1 0.127 0.750 0.625
N1 0.000 0.000 0.500
```

---

7.
The following is a DFT calculation (PBE) of a geometry-optimized ThCo5P3 structure.

**Energy of formation**: -0.815 eV/atom

Structure (CIF):
```
data_ThCo5P3
_chemical_formula_sum 'Th4 Co20 P12'
_cell_length_a 3.618
_cell_length_b 11.384
_cell_length_c 11.394
_cell_angle_alpha 90.00
_cell_angle_beta 90.00
_cell_angle_gamma 90.00
_symmetry_space_group_name_H-M 'C m c m'
_symmetry_Int_Tables_number 63
_symmetry_space_group_name_Hall '-C 2c 2'
loop_
_atom_site_label
_atom_site_fract_x
_atom_site_fract_y
_atom_site_fract_z
Th1 0.000 0.161 0.250
Co1 0.000 0.000 0.000
Co2 0.000 0.200 0.572
Co3 0.000 0.447 0.142
P1 0.000 0.110 0.750
P2 0.000 0.383 0.538
```

---

8.
The following is a DFT calculation (PBE) of a geometry-optimized Li2In9Sn structure.

**Energy of formation**: -0.069 eV/atom

Structure (CIF):
```
data_Li2In9Sn
_chemical_formula_sum 'Li2 In9 Sn1'
_cell_length_a 4.666
_cell_length_b 4.666
_cell_length_c 13.810
_cell_angle_alpha 90.00
_cell_angle_beta 90.00
_cell_angle_gamma 90.00
_symmetry_space_group_name_H-M 'P 4/m m m'
_symmetry_Int_Tables_number 123
_symmetry_space_group_name_Hall '-P 4 2'
loop_
_atom_site_label
_atom_site_fract_x
_atom_site_fract_y
_atom_site_fract_z
Li1 0.000 0.000 0.155
In1 0.000 0.500 0.000
In2 0.000 0.500 0.322
In3 0.500 0.500 0.159
In4 0.500 0.500 0.500
Sn1 0.000 0.000 0.500
```